# Li2SiAg2

An optimized crystal structure of Li2SiAg2 (PBE, the Alexandria database).

Results
magnetization = 0.00 μB per formula unit
formation energy from raw total energies = -0.1389 eV per atom
volume = 15.5 A^3/atom
crystal system = orthorhombic
Fermi-level density of states = 6.136 states/eV per cell

Lattice parameters (Å, degrees): 4.4061 16.1127 4.3725 90.00 90.00 90.00
Last column: nearest neighbours and their distance in Å.
Space group Cmcm (No. 63)
Symmetry-distinct sites (fractional):
Li  0.0000  0.0558  0.2500  2 Si 2.67, 4 Li 2.71-2.83, 2 Ag 2.86
Li  0.0000  0.1552  0.7500  6 Ag 2.61-2.74, 2 Li 2.71
Si  0.0000  0.3502  0.7500  6 Ag 2.65-2.78, 2 Li 2.67
Ag  0.0000  0.2433  0.2500  4 Li 2.61-2.74, 4 Si 2.67-2.78
Ag  0.0000  0.4429  0.2500  2 Si 2.65, 4 Li 2.71-2.86, 2 Ag 2.86